First-principles (GGA+U) data for a relaxed structure of K2SrFeO4, as listed in Alexandria.

a = 6.1508 Å, b = 6.1508 Å, c = 7.8096 Å
α = 90.00°, β = 90.00°, γ = 90.00°
Space group I-4 (No. 82)
One atom of each set of equivalent atoms:
K: 0.0000 0.0000 0.0000
K: 0.0000 0.5000 0.2500
Sr: 0.0000 0.5000 0.7500
Fe: 0.0000 0.0000 0.5000
O: 0.1731 0.7912 0.5966

- M_tot: 3.93 μB per formula unit
- Mass density: 3.2 g/cm³
- VASP energy: -5.3424 eV/atom